Record 1
Entry from the Alexandria database: crystalline Li7VO5F at its relaxed geometry (PBE with a Hubbard U).

```
Li7VO5F
1.0
5.572 0.000 0.000
2.734 4.859 0.000
0.348 0.128 10.824
Li V O F
14 2 10 2
Direct
0.000 0.000 0.000
0.007 0.047 0.370
0.036 0.643 0.873
0.249 0.403 0.369
0.288 0.685 0.672
0.309 0.663 0.150
0.343 0.019 0.503
0.349 0.305 0.012
0.596 0.744 0.000
0.636 0.403 0.868
0.645 0.365 0.501
0.906 0.705 0.510
0.952 0.361 0.173
0.984 0.327 0.651
0.624 0.014 0.740
0.643 0.999 0.239
0.319 0.651 0.962
0.320 0.311 0.195
0.342 0.997 0.678
0.623 0.331 0.690
0.627 0.715 0.177
0.640 0.051 0.410
0.675 0.016 0.910
0.938 0.694 0.697
0.956 0.007 0.191
0.995 0.338 0.464
0.271 0.698 0.461
0.958 0.372 0.961
```

Summary:
As for the energy: -153.18 eV per cell. The calculation puts the density of states at the Fermi level at 0.00 states/eV per cell. Its symmetry is P1 (1).

---

Record 2
Entry from the Alexandria database: crystalline LiV6O7F5 at its relaxed geometry (PBE with a Hubbard U).

```
LiV6O7F5
1.0
5.840 0.000 0.000
-0.956 5.991 0.000
-1.093 -1.289 5.863
Li V O F
1 6 7 5
Direct
0.000 0.000 0.000
0.159 0.362 0.606
0.311 0.632 0.138
0.410 0.874 0.664
0.606 0.182 0.340
0.695 0.433 0.870
0.859 0.686 0.382
0.193 0.597 0.425
0.424 0.200 0.586
0.429 0.615 0.829
0.574 0.437 0.178
0.586 0.852 0.412
0.830 0.451 0.587
0.941 0.681 0.077
0.068 0.921 0.672
0.105 0.325 0.925
0.331 0.973 0.094
0.691 0.086 0.900
0.944 0.131 0.318
```

Summary:
As for the energy: -135.32 eV per cell. Its symmetry is P1 (1).

---

Record 3
Entry from the Alexandria database: crystalline Li7VO5F at its relaxed geometry (PBE with a Hubbard U).

```
Li7VO5F
1.0
5.712 0.000 0.000
-2.646 5.173 0.000
-0.306 -3.310 4.778
Li V O F
7 1 5 1
Direct
0.000 0.000 0.000
0.003 0.483 0.492
0.055 0.018 0.503
0.461 0.421 0.484
0.505 0.968 0.009
0.519 0.500 0.025
0.601 0.898 0.523
0.067 0.536 0.025
0.236 0.956 0.218
0.246 0.476 0.244
0.246 0.481 0.761
0.690 0.257 0.895
0.845 0.740 0.599
0.759 0.979 0.250
```

Summary:
As for the energy: -76.33 eV per cell. The calculation puts the density of states at the Fermi level at 0.00 states/eV per cell. Its symmetry is P1 (1).

---

Record 4
Entry from the Alexandria database: crystalline Li2VOF4 at its relaxed geometry (PBE with a Hubbard U).

```
Li2VOF4
1.0
5.179 0.000 0.000
0.000 7.023 0.000
0.000 0.000 9.788
Li V O F
8 4 4 16
Direct
0.036 0.219 0.217
0.043 0.089 0.918
0.457 0.911 0.418
0.464 0.781 0.717
0.536 0.281 0.783
0.543 0.411 0.082
0.957 0.589 0.582
0.964 0.719 0.283
0.012 0.566 0.940
0.488 0.434 0.440
0.512 0.934 0.060
0.988 0.066 0.560
0.238 0.034 0.108
0.262 0.966 0.608
0.738 0.466 0.892
0.762 0.534 0.392
0.059 0.016 0.365
0.131 0.327 0.531
0.138 0.646 0.762
0.236 0.341 0.928
0.264 0.659 0.428
0.362 0.354 0.262
0.369 0.673 0.031
0.441 0.984 0.865
0.559 0.484 0.635
0.631 0.173 0.469
0.638 0.854 0.238
0.736 0.159 0.072
0.764 0.841 0.572
0.862 0.146 0.738
0.869 0.827 0.969
0.941 0.516 0.135
```

Summary:
As for the energy: -180.74 eV per cell. The calculation puts the density of states at the Fermi level at 0.00 states/eV per cell. Its symmetry is P2_12_12_1 (19).

---

Record 5
Entry from the Alexandria database: crystalline Li3V4O3F9 at its relaxed geometry (PBE with a Hubbard U).

```
Li3V4O3F9
1.0
5.572 0.000 0.000
2.536 5.040 0.000
1.241 1.834 8.994
Li V O F
3 4 3 9
Direct
0.000 0.000 0.000
0.172 0.905 0.688
0.689 0.089 0.509
0.044 0.460 0.378
0.501 0.514 0.176
0.513 0.158 0.855
0.774 0.643 0.775
0.395 0.459 0.412
0.433 0.226 0.344
0.878 0.925 0.828
0.075 0.729 0.184
0.100 0.306 0.890
0.453 0.019 0.681
0.482 0.510 0.734
0.487 0.810 0.979
0.621 0.262 0.022
0.879 0.682 0.538
0.900 0.350 0.237
0.982 0.168 0.525
```

Summary:
As for the energy: -112.33 eV per cell. Its symmetry is P1 (1).

---

Record 6
Entry from the Alexandria database: crystalline Li3V4O3F9 at its relaxed geometry (PBE with a Hubbard U).

```
Li3V4O3F9
1.0
5.319 0.000 0.000
-2.076 4.992 0.000
-1.313 -2.209 9.223
Li V O F
3 4 3 9
Direct
0.000 0.000 0.000
0.212 0.535 0.013
0.532 0.482 0.508
0.533 0.297 0.834
0.680 0.450 0.174
0.789 0.062 0.332
0.942 0.217 0.670
0.382 0.247 0.009
0.598 0.291 0.334
0.713 0.404 0.677
0.114 0.324 0.492
0.194 0.013 0.700
0.282 0.514 0.813
0.487 0.729 0.190
0.681 0.892 0.509
0.786 0.086 0.845
0.875 0.612 0.994
0.915 0.222 0.157
0.985 0.809 0.289
```

Summary:
As for the energy: -116.65 eV per cell. The calculation puts the density of states at the Fermi level at 0.00 states/eV per cell. Its symmetry is P1 (1).

---

Record 7
Entry from the Alexandria database: crystalline Li4V8O13F3 at its relaxed geometry (PBE with a Hubbard U).

```
Li4V8O13F3
1.0
5.989 0.000 0.000
-2.844 5.281 0.000
-0.146 -3.398 9.958
Li V O F
4 8 13 3
Direct
0.000 0.000 0.000
0.165 0.221 0.390
0.502 0.986 0.505
0.677 0.228 0.889
0.082 0.112 0.690
0.083 0.611 0.197
0.085 0.614 0.697
0.343 0.605 0.946
0.583 0.610 0.196
0.584 0.111 0.197
0.593 0.632 0.686
0.821 0.619 0.449
0.009 0.383 0.817
0.164 0.841 0.574
0.225 0.404 0.075
0.226 0.383 0.592
0.445 0.849 0.299
0.460 0.812 0.813
0.492 0.368 0.317
0.674 0.851 0.076
0.708 0.404 0.584
0.716 0.863 0.580
0.722 0.371 0.093
0.940 0.816 0.317
0.948 0.853 0.797
0.214 0.858 0.071
0.463 0.361 0.817
0.953 0.362 0.321
```

Summary:
As for the energy: -198.89 eV per cell. Its symmetry is P1 (1).

---

Record 8
Entry from the Alexandria database: crystalline Li2VOF4 at its relaxed geometry (PBE with a Hubbard U).

```
Li2VOF4
1.0
1.814 -5.164 0.000
1.814 5.164 0.000
0.000 0.000 10.245
Li V O F
4 2 2 8
Direct
0.124 0.876 0.563
0.124 0.876 0.937
0.876 0.124 0.063
0.876 0.124 0.437
0.187 0.813 0.250
0.813 0.187 0.750
0.293 0.707 0.750
0.707 0.293 0.250
0.057 0.943 0.116
0.057 0.943 0.384
0.315 0.685 0.103
0.315 0.685 0.397
0.685 0.315 0.603
0.685 0.315 0.897
0.943 0.057 0.616
0.943 0.057 0.884
```

Summary:
As for the energy: -91.06 eV per cell. The calculation puts the density of states at the Fermi level at 0.00 states/eV per cell. Its symmetry is Cmcm (63).

---

Record 9
Entry from the Alexandria database: crystalline Li8VO5F at its relaxed geometry (PBE with a Hubbard U).

```
Li8VO5F
1.0
5.417 0.000 0.000
-2.575 4.798 0.000
-2.640 -1.498 5.116
Li V O F
8 1 5 1
Direct
0.000 0.000 0.000
0.035 0.168 0.643
0.169 0.434 0.353
0.413 0.886 0.643
0.525 0.132 0.354
0.592 0.331 0.955
0.689 0.545 0.632
0.870 0.742 0.349
0.253 0.629 0.975
0.121 0.879 0.752
0.140 0.745 0.228
0.411 0.552 0.744
0.435 0.416 0.224
0.794 0.254 0.750
0.783 0.053 0.251
```

Summary:
As for the energy: -79.48 eV per cell. The calculation puts the density of states at the Fermi level at 0.00 states/eV per cell. Its symmetry is P1 (1).

---

Record 10
Entry from the Alexandria database: crystalline LiV3O4F2 at its relaxed geometry (PBE with a Hubbard U).

```
LiV3O4F2
1.0
5.163 0.000 0.000
-2.506 4.535 0.000
-0.194 -2.878 4.708
Li V O F
1 3 4 2
Direct
0.000 0.000 0.000
0.246 0.448 0.608
0.547 0.083 0.537
0.755 0.510 0.176
0.138 0.963 0.346
0.484 0.628 0.392
0.605 0.523 0.845
0.837 0.297 0.364
0.343 0.957 0.857
0.966 0.285 0.851
```

Summary:
As for the energy: -70.58 eV per cell. Its symmetry is P1 (1).

---

Record 11
Entry from the Alexandria database: crystalline Li2VOF3 at its relaxed geometry (PBE with a Hubbard U).

```
Li2VOF3
1.0
4.884 -2.939 0.000
4.884 2.939 0.000
-0.034 0.000 5.223
Li V O F
4 2 2 6
Direct
0.087 0.500 0.483
0.194 0.194 0.006
0.500 0.913 0.517
0.806 0.806 0.994
0.537 0.463 0.000
0.799 0.201 0.500
0.639 0.142 0.193
0.858 0.361 0.807
0.155 0.119 0.363
0.156 0.584 0.135
0.416 0.844 0.865
0.421 0.324 0.676
0.676 0.579 0.324
0.881 0.845 0.637
```

Summary:
As for the energy: -80.90 eV per cell. The calculation puts the density of states at the Fermi level at 0.00 states/eV per cell. Its symmetry is C2 (5).

---

Record 12
Entry from the Alexandria database: crystalline LiV2OF5 at its relaxed geometry (PBE with a Hubbard U).

```
LiV2OF5
1.0
5.518 0.000 0.000
-0.676 7.617 0.000
-2.336 -3.764 7.709
Li V O F
3 6 3 15
Direct
0.000 0.000 0.000
0.015 0.516 0.022
0.495 0.249 0.660
0.227 0.387 0.331
0.245 0.894 0.351
0.587 0.717 0.997
0.603 0.226 0.021
0.907 0.566 0.680
0.939 0.050 0.663
0.169 0.057 0.546
0.829 0.713 0.882
0.957 0.337 0.128
0.010 0.397 0.476
0.198 0.085 0.242
0.219 0.090 0.889
0.280 0.678 0.799
0.296 0.680 0.419
0.332 0.716 0.129
0.492 0.385 0.218
0.534 0.416 0.910
0.537 0.422 0.548
0.619 0.036 0.478
0.641 0.008 0.091
0.689 0.064 0.805
0.866 0.770 0.591
0.879 0.737 0.199
0.943 0.346 0.767
```

Summary:
As for the energy: -166.36 eV per cell. Its symmetry is P1 (1).

---

- Which of these has the highest energy?
  LiV3O4F2

---

- Which of these has the highest energy?
  LiV3O4F2